A plane-wave DFT calculation with PBE-GGA was carried out for PrTm3Cl after structural relaxation.

a b c (Å): 5.2494 5.2494 5.2494
angles (deg): 90.00 90.00 90.00
Fractional coordinates of all 5 atoms:
Pr 0.0000 0.0000 0.0000
Tm 0.0000 0.5000 0.5000
Tm 0.5000 0.0000 0.5000
Tm 0.5000 0.5000 0.0000
Cl 0.5000 0.5000 0.5000

## Properties
The total magnetization comes out at 0.11 μB per formula unit. As for the crystal system: cubic. For the raw total energy, the calculation gives -4.4186 eV per atom.

A plane-wave DFT calculation with PBE-GGA was carried out for Pr6YCl3 after structural relaxation.

a b c (Å): 8.4312 8.4312 8.4312
angles (deg): 114.11 114.11 100.55
Fractional coordinates of all 10 atoms:
Pr 0.1775 0.5000 0.6775
Pr 0.2419 0.2419 0.0000
Pr 0.5000 0.1775 0.6775
Pr 0.5000 0.8225 0.3225
Pr 0.7581 0.7581 0.0000
Pr 0.8225 0.5000 0.3225
Y 0.5000 0.5000 0.0000
Cl 0.0000 0.0000 0.0000
Cl 0.2500 0.7500 0.5000
Cl 0.7500 0.2500 0.5000

## Properties
The total magnetization comes out at 0.39 μB per formula unit. As for the crystal system: tetragonal. For the raw total energy, the calculation gives -4.0332 eV per atom.

Q: Which of these has the highest raw total energy?
A: Pr6YCl3